i | First-principles (meta-GGA SCAN) data for a crystal of CuPSe2 relaxed with PBEsol, as listed in Alexandria.

Properties
Spin magnetization ... 0.0 μB per formula unit
Space group ... R-3m, No. 166

Cell: 3.7311 3.7311 21.7477 Å, 90.00 90.00 120.00°
Last column: nearest neighbours and their distance in Å.
Atoms (fractional coordinates):
1 Cu 0.0000 0.0000 0.0000  2 Se 2.23
2 Cu 0.3333 0.6667 0.6667  2 Se 2.23
3 Cu 0.6667 0.3333 0.3333  2 Se 2.23
4 P 0.0000 0.0000 0.5000  6 Se 2.57
5 P 0.3333 0.6667 0.1667  6 Se 2.57
6 P 0.6667 0.3333 0.8333  6 Se 2.57
7 Se 0.0000 0.0000 0.1025  1 Cu 2.23
8 Se 0.0000 0.0000 0.8975  1 Cu 2.23
9 Se 0.3333 0.6667 0.5642  1 Cu 2.23
10 Se 0.3333 0.6667 0.7691  1 Cu 2.23
11 Se 0.6667 0.3333 0.2309  1 Cu 2.23
12 Se 0.6667 0.3333 0.4358  1 Cu 2.23



ii | First-principles (meta-GGA SCAN) data for a crystal of CuPSe2 relaxed with PBEsol, as listed in Alexandria.

Properties
Spin magnetization ... 0.0 μB per formula unit
Space group ... Immm, No. 71

Cell: 3.5733 3.7129 10.9162 Å, 90.00 90.00 90.00°
Last column: nearest neighbours and their distance in Å.
Atoms (fractional coordinates):
1 Cu 0.0000 0.0000 0.0000  4 Se 2.52, 4 P 2.58
2 Cu 0.5000 0.5000 0.5000  4 Se 2.52, 4 P 2.58
3 P 0.0000 0.0000 0.5000  4 Se 2.57, 4 Cu 2.58
4 P 0.5000 0.5000 0.0000  4 Se 2.57, 4 Cu 2.58
5 Se 0.0000 0.5000 0.3366  2 Cu 2.52, 2 P 2.57
6 Se 0.0000 0.5000 0.6634  2 Cu 2.52, 2 P 2.57
7 Se 0.5000 0.0000 0.1634  2 Cu 2.52, 2 P 2.57
8 Se 0.5000 0.0000 0.8366  2 Cu 2.52, 2 P 2.57



Stability, lowest: ii



i | First-principles (meta-GGA SCAN) data for a crystal of CuTcP2 relaxed with PBEsol, as listed in Alexandria.

Properties
Spin magnetization ... 0.0 μB per formula unit
Space group ... Pmm2, No. 25

Cell: 2.9980 3.5581 4.8229 Å, 90.00 90.00 90.00°
Last column: nearest neighbours and their distance in Å.
Atoms (fractional coordinates):
1 Cu 0.0000 0.0000 0.0000  6 P 2.40-2.44
2 Tc 0.5000 0.5000 0.6544  6 P 2.39-2.45
3 P 0.0000 0.0000 0.4976  2 Cu 2.40-2.42, 4 Tc 2.45
4 P 0.5000 0.5000 0.1502  2 Tc 2.39-2.43, 4 Cu 2.44



ii | First-principles (meta-GGA SCAN) data for a crystal of CuTcP2 relaxed with PBEsol, as listed in Alexandria.

Properties
Spin magnetization ... 0.0 μB per formula unit
Space group ... Imm2, No. 44

Cell: 2.9102 3.2495 11.6503 Å, 90.00 90.00 90.00°
Last column: nearest neighbours and their distance in Å.
Atoms (fractional coordinates):
1 Cu 0.0000 0.0000 0.0000  6 P 2.39-2.49
2 Cu 0.5000 0.5000 0.5000  6 P 2.39-2.49
3 Tc 0.0000 0.5000 0.2655  6 P 2.39
4 Tc 0.5000 0.0000 0.7655  6 P 2.39
5 P 0.0000 0.0000 0.6030  2 Tc 2.39, 4 Cu 2.49
6 P 0.0000 0.5000 0.8498  2 Cu 2.39, 4 Tc 2.39
7 P 0.5000 0.0000 0.3498  2 Cu 2.39, 4 Tc 2.39
8 P 0.5000 0.5000 0.1030  2 Tc 2.39, 4 Cu 2.49



Stability, lowest: i



i | First-principles (meta-GGA SCAN) data for a crystal of TlCuP2 relaxed with PBEsol, as listed in Alexandria.

Properties
Spin magnetization ... 0.0 μB per formula unit
Space group ... P4/mmm, No. 123

Cell: 3.5887 3.5887 5.4908 Å, 90.00 90.00 90.00°
Last column: nearest neighbours and their distance in Å.
Atoms (fractional coordinates):
1 Tl 0.0000 0.0000 0.0000  4 Cu 2.54
2 Cu 0.5000 0.5000 0.0000  4 Tl 2.54
3 P 0.0000 0.5000 0.5000  4 P 2.54
4 P 0.5000 0.0000 0.5000  4 P 2.54



ii | First-principles (meta-GGA SCAN) data for a crystal of TlCuP2 relaxed with PBEsol, as listed in Alexandria.

Properties
Spin magnetization ... 0.0 μB per formula unit
Space group ... Pm, No. 6

Cell: 4.0188 3.2450 5.9220 Å, 90.00 103.21 90.00°
Last column: nearest neighbours and their distance in Å.
Atoms (fractional coordinates):
1 Tl 0.0000 0.0000 0.0000  4 Cu 2.93-3.07, 3 P 3.04-3.26, 2 Tl 3.25
2 Cu 0.6149 0.5000 0.2647  3 P 2.31-2.44
3 P 0.1171 0.5000 0.5471  2 P 2.19, 1 Cu 2.31
4 P 0.4817 0.0000 0.5382  2 P 2.19, 2 Cu 2.44



iii | First-principles (meta-GGA SCAN) data for a crystal of TlCuP2 relaxed with PBEsol, as listed in Alexandria.

Properties
Spin magnetization ... 0.0 μB per formula unit
Space group ... P2/m, No. 10

Cell: 4.0341 3.7259 5.3158 Å, 90.00 104.53 90.00°
Last column: nearest neighbours and their distance in Å.
Atoms (fractional coordinates):
1 Tl 0.0000 0.0000 0.0000  2 Cu 2.91, 4 P 3.07
2 Cu 0.5000 0.0000 0.5000  4 P 2.29
3 P 0.2572 0.5000 0.6306  1 P 2.19, 2 Cu 2.29
4 P 0.7428 0.5000 0.3694  1 P 2.19, 2 Cu 2.29



Stability, lowest: i



i | First-principles (meta-GGA SCAN) data for a crystal of ZnCu2P relaxed with PBEsol, as listed in Alexandria.

Properties
Spin magnetization ... 0.0 μB per formula unit
Space group ... R-3m, No. 166

Cell: 2.7167 2.7167 23.4431 Å, 90.00 90.00 120.00°
Last column: nearest neighbours and their distance in Å.
Atoms (fractional coordinates):
1 Zn 0.0000 0.0000 0.0000  6 Cu 2.57, 6 Zn 2.72
2 Zn 0.3333 0.6667 0.6667  6 Cu 2.57, 6 Zn 2.72
3 Zn 0.6667 0.3333 0.3333  6 Cu 2.57, 6 Zn 2.72
4 Cu 0.0000 0.0000 0.2467  3 P 2.45, 3 Zn 2.57, 6 Cu 2.72
5 Cu 0.0000 0.0000 0.7533  3 P 2.45, 3 Zn 2.57, 6 Cu 2.72
6 Cu 0.3333 0.6667 0.4200  3 P 2.45, 3 Zn 2.57, 6 Cu 2.72
7 Cu 0.3333 0.6667 0.9134  3 P 2.45, 3 Zn 2.57, 6 Cu 2.72
8 Cu 0.6667 0.3333 0.0866  3 P 2.45, 3 Zn 2.57, 6 Cu 2.72
9 Cu 0.6667 0.3333 0.5800  3 P 2.45, 3 Zn 2.57, 6 Cu 2.72
10 P 0.0000 0.0000 0.5000  6 Cu 2.45, 6 P 2.72
11 P 0.3333 0.6667 0.1667  6 Cu 2.45, 6 P 2.72
12 P 0.6667 0.3333 0.8333  6 Cu 2.45, 6 P 2.72



ii | First-principles (meta-GGA SCAN) data for a crystal of ZnCu2P relaxed with PBEsol, as listed in Alexandria.

Properties
Spin magnetization ... 0.0 μB per formula unit
Space group ... I-4m2, No. 119

Cell: 3.6015 3.6015 7.6350 Å, 90.00 90.00 90.00°
Last column: nearest neighbours and their distance in Å.
Atoms (fractional coordinates):
1 Zn 0.0000 0.0000 0.0000  8 Cu 2.55-2.62, 4 P 2.62
2 Zn 0.5000 0.5000 0.5000  8 Cu 2.55-2.62, 4 P 2.62
3 Cu 0.0000 0.0000 0.5000  4 Zn 2.55, 4 Cu 2.62, 4 P 2.62
4 Cu 0.0000 0.5000 0.2500  4 P 2.55, 4 Cu 2.62, 4 Zn 2.62
5 Cu 0.5000 0.0000 0.7500  4 P 2.55, 4 Cu 2.62, 4 Zn 2.62
6 Cu 0.5000 0.5000 0.0000  4 Zn 2.55, 4 Cu 2.62, 4 P 2.62
7 P 0.0000 0.5000 0.7500  8 Cu 2.55-2.62, 4 Zn 2.62
8 P 0.5000 0.0000 0.2500  8 Cu 2.55-2.62, 4 Zn 2.62



Stability, lowest: i



i | First-principles (meta-GGA SCAN) data for a crystal of Cu2RePb relaxed with PBEsol, as listed in Alexandria.

Properties
Spin magnetization ... 0.0 μB per formula unit
Space group ... Cmmm, No. 65

Cell: 5.4836 7.8824 2.8300 Å, 90.00 90.00 90.00°
Last column: nearest neighbours and their distance in Å.
Atoms (fractional coordinates):
1 Cu 0.2500 0.2500 0.0000  4 Cu 2.74-2.83, 4 Pb 2.79, 4 Re 2.79
2 Cu 0.2500 0.7500 0.0000  4 Cu 2.74-2.83, 4 Pb 2.79, 4 Re 2.79
3 Cu 0.7500 0.2500 0.0000  4 Cu 2.74-2.83, 4 Pb 2.79, 4 Re 2.79
4 Cu 0.7500 0.7500 0.0000  4 Cu 2.74-2.83, 4 Re 2.79, 4 Pb 2.79
5 Re 0.0000 0.0000 0.5000  2 Pb 2.74, 8 Cu 2.79, 2 Re 2.83
6 Re 0.5000 0.5000 0.5000  2 Pb 2.74, 8 Cu 2.79, 2 Re 2.83
7 Pb 0.0000 0.5000 0.5000  2 Re 2.74, 8 Cu 2.79, 2 Pb 2.83
8 Pb 0.5000 0.0000 0.5000  2 Re 2.74, 8 Cu 2.79, 2 Pb 2.83



ii | First-principles (meta-GGA SCAN) data for a crystal of Cu2RePb relaxed with PBEsol, as listed in Alexandria.

Properties
Spin magnetization ... 0.0 μB per formula unit
Space group ... Immm, No. 71

Cell: 2.9967 4.5430 9.2480 Å, 90.00 90.00 90.00°
Last column: nearest neighbours and their distance in Å.
Atoms (fractional coordinates):
1 Cu 0.0000 0.0000 0.2363  2 Re 2.65, 4 Cu 2.73, 2 Pb 2.86
2 Cu 0.0000 0.0000 0.7637  2 Re 2.65, 4 Cu 2.73, 2 Pb 2.86
3 Cu 0.5000 0.5000 0.2637  2 Re 2.65, 4 Cu 2.73, 2 Pb 2.86
4 Cu 0.5000 0.5000 0.7363  2 Re 2.65, 4 Cu 2.73, 2 Pb 2.86
5 Re 0.0000 0.5000 0.5000  4 Cu 2.65, 4 Pb 2.72
6 Re 0.5000 0.0000 0.0000  4 Cu 2.65, 4 Pb 2.72
7 Pb 0.0000 0.5000 0.0000  4 Re 2.72, 4 Cu 2.86, 2 Pb 3.00
8 Pb 0.5000 0.0000 0.5000  4 Re 2.72, 4 Cu 2.86, 2 Pb 3.00



Stability, lowest: ii



i | First-principles (meta-GGA SCAN) data for a crystal of CuRuPb2 relaxed with PBEsol, as listed in Alexandria.

Properties
Spin magnetization ... 0.8 μB per formula unit
Space group ... P4/mmm, No. 123

Cell: 3.4259 3.4259 6.3849 Å, 90.00 90.00 90.00°
Last column: nearest neighbours and their distance in Å.
Atoms (fractional coordinates):
1 Cu 0.0000 0.0000 0.0000  8 Pb 2.91, 2 Ru 3.19
2 Ru 0.0000 0.0000 0.5000  8 Pb 2.89, 2 Cu 3.19
3 Pb 0.5000 0.5000 0.2522  4 Ru 2.89, 4 Cu 2.91, 2 Pb 3.16-3.22
4 Pb 0.5000 0.5000 0.7478  4 Ru 2.89, 4 Cu 2.91, 2 Pb 3.16-3.22



ii | First-principles (meta-GGA SCAN) data for a crystal of CuRuPb2 relaxed with PBEsol, as listed in Alexandria.

Properties
Spin magnetization ... 0.0 μB per formula unit
Space group ... Pmm2, No. 25

Cell: 3.4130 4.0242 5.5554 Å, 90.00 90.00 90.00°
Last column: nearest neighbours and their distance in Å.
Atoms (fractional coordinates):
1 Cu 0.0000 0.0000 0.0000  5 Pb 2.61-2.82
2 Ru 0.5000 0.5000 0.6986  6 Pb 2.67-2.89
3 Pb 0.0000 0.0000 0.5305  1 Cu 2.61, 4 Ru 2.80
4 Pb 0.5000 0.5000 0.1786  2 Ru 2.67-2.89, 4 Cu 2.82



Stability, lowest: i



i | First-principles (meta-GGA SCAN) data for a crystal of Cu2SiPb relaxed with PBEsol, as listed in Alexandria.

Properties
Spin magnetization ... 0.0 μB per formula unit
Space group ... P4/mmm, No. 123

Cell: 3.1399 3.1399 6.7379 Å, 90.00 90.00 90.00°
Last column: nearest neighbours and their distance in Å.
Atoms (fractional coordinates):
1 Cu 0.0000 0.0000 0.1823  1 Cu 2.46, 4 Si 2.54
2 Cu 0.0000 0.0000 0.8177  1 Cu 2.46, 4 Si 2.54
3 Si 0.5000 0.5000 0.0000  8 Cu 2.54
4 Pb 0.5000 0.5000 0.5000  8 Cu 3.08, 4 Pb 3.14, 2 Si 3.37



ii | First-principles (meta-GGA SCAN) data for a crystal of Cu2SiPb relaxed with PBEsol, as listed in Alexandria.

Properties
Spin magnetization ... 0.0 μB per formula unit
Space group ... R-3m, No. 166

Cell: 4.0047 4.0047 15.3249 Å, 90.00 90.00 120.00°
Last column: nearest neighbours and their distance in Å.
Atoms (fractional coordinates):
1 Cu 0.0000 0.0000 0.1987  3 Si 2.36, 3 Cu 2.51
2 Cu 0.0000 0.0000 0.8013  3 Si 2.36, 3 Cu 2.51
3 Cu 0.3333 0.6667 0.4680  3 Si 2.36, 3 Cu 2.51
4 Cu 0.3333 0.6667 0.8654  3 Si 2.36, 3 Cu 2.51
5 Cu 0.6667 0.3333 0.1346  3 Si 2.36, 3 Cu 2.51
6 Cu 0.6667 0.3333 0.5320  3 Si 2.36, 3 Cu 2.51
7 Si 0.0000 0.0000 0.5000  6 Cu 2.36
8 Si 0.3333 0.6667 0.1667  6 Cu 2.36
9 Si 0.6667 0.3333 0.8333  6 Cu 2.36
10 Pb 0.0000 0.0000 0.0000  8 Cu 3.04-3.10
11 Pb 0.3333 0.6667 0.6667  8 Cu 3.04-3.10
12 Pb 0.6667 0.3333 0.3333  8 Cu 3.04-3.10



Stability, lowest: i